Record 1
SrMg2AsW | PBEsol | relaxed

Cell lengths 4.7956, 5.1147, 5.1147 Å; angles 90.00, 90.00, 90.00 degrees
With the nearest neighbours (Å) after each atom.
Element x y z (fractional)
W 0.5000 0.0000 0.0000  2 As 2.40
Mg 0.0000 0.0000 0.5000  2 As 2.56
Mg 0.0000 0.5000 0.0000  2 As 2.56
As 0.0000 0.0000 0.0000  2 W 2.40, 4 Mg 2.56
Sr 0.5000 0.5000 0.5000  8 Mg 3.51, 4 W 3.62

Calculated values
Magnetization = 0.0 μB per cell
ΔE_f = 561 meV per atom
V = 125 Å³/f.u.
Symmetry = No. 123

***

Record 2
MgTa2As | PBEsol | relaxed

Cell lengths 3.9570, 3.9570, 4.3162 Å; angles 90.00, 90.00, 90.00 degrees
With the nearest neighbours (Å) after each atom.
Element x y z (fractional)
Mg 0.0000 0.0000 0.5000  4 As 2.80, 8 Ta 2.93
Ta 0.0000 0.5000 0.0000  4 Ta 2.80, 4 As 2.93, 4 Mg 2.93
Ta 0.5000 0.0000 0.0000  4 Ta 2.80, 4 As 2.93, 4 Mg 2.93
As 0.5000 0.5000 0.5000  4 Mg 2.80, 8 Ta 2.93

Calculated values
Magnetization = 0.0 μB per cell
ΔE_f = 140 meV per atom
V = 68 Å³/f.u.
Polymorph energy (0 for the lowest one) = 0.176 eV/atom
Symmetry = No. 123

***

Record 3
MgTa2As | PBEsol | relaxed

Cell lengths 3.4520, 3.4520, 5.8345 Å; angles 90.00, 90.00, 90.00 degrees
With the nearest neighbours (Å) after each atom.
Element x y z (fractional)
Ta 0.5000 0.5000 0.2450  4 Ta 2.78, 4 As 2.85, 2 Mg 2.91-2.92
Ta 0.0000 0.0000 0.0153  4 Ta 2.78, 2 As 2.80-3.03, 4 Mg 2.91
Mg 0.5000 0.5000 0.7439  4 As 2.84, 6 Ta 2.91-2.92
As 0.0000 0.0000 0.4958  6 Ta 2.80-3.03, 4 Mg 2.84

Calculated values
Magnetization = 0.0 μB per cell
ΔE_f = -36 meV per atom
V = 70 Å³/f.u.
Polymorph energy (0 for the lowest one) = 0.000 eV/atom
Symmetry = No. 99

***

Record 4
MgTa2As | PBEsol | relaxed

Cell lengths 3.8687, 3.8687, 10.2463 Å; angles 100.88, 100.88, 90.00 degrees
With the nearest neighbours (Å) after each atom.
Element x y z (fractional)
Mg 0.7500 0.2500 0.5000  4 As 2.74, 4 Ta 2.83
Mg 0.5000 0.5000 0.0000  4 As 2.74, 4 Ta 2.83
As 0.2500 0.7500 0.5000  4 Mg 2.74, 4 Ta 2.81
As 0.0000 0.0000 0.0000  4 Mg 2.74, 4 Ta 2.81
Ta 0.8810 0.3750 0.2500  4 Ta 2.70-2.77, 2 As 2.81, 2 Mg 2.83
Ta 0.1250 0.1190 0.7500  4 Ta 2.70-2.77, 2 As 2.81, 2 Mg 2.83
Ta 0.3690 0.8750 0.2500  4 Ta 2.70-2.77, 2 As 2.81, 2 Mg 2.83
Ta 0.6250 0.6310 0.7500  4 Ta 2.70-2.77, 2 As 2.81, 2 Mg 2.83

Calculated values
Magnetization = 0.0 μB per cell
ΔE_f = 377 meV per atom
V = 74 Å³/f.u.
Polymorph energy (0 for the lowest one) = 0.413 eV/atom
Symmetry = No. 122

***

Record 5
MgTa2As | PBEsol | relaxed

Cell lengths 2.9250, 2.9250, 8.6735 Å; angles 90.00, 90.00, 107.70 degrees
With the nearest neighbours (Å) after each atom.
Element x y z (fractional)
As 0.5000 0.5000 0.5000  4 Ta 2.60
Ta 0.0000 0.0000 0.2762  2 As 2.60
Ta 0.0000 0.0000 0.7238  2 As 2.60
Mg 0.5000 0.5000 0.0000  4 Mg 2.92, 4 Ta 2.95

Calculated values
Magnetization = 0.0 μB per cell
ΔE_f = 101 meV per atom
V = 71 Å³/f.u.
Polymorph energy (0 for the lowest one) = 0.137 eV/atom
Symmetry = No. 65

***

Record 6
MgTa2As | PBEsol | relaxed

Cell lengths 3.1089, 4.7708, 4.7708 Å; angles 107.11, 90.00, 90.00 degrees
With the nearest neighbours (Å) after each atom.
Element x y z (fractional)
Ta 0.0000 0.0000 0.5000  4 Ta 2.83-3.11, 4 As 2.85, 4 Mg 2.85
Ta 0.0000 0.5000 0.0000  4 Ta 2.83-3.11, 4 Mg 2.85, 4 As 2.85
As 0.5000 0.0000 0.0000  2 Mg 2.83, 8 Ta 2.85, 2 As 3.11
Mg 0.5000 0.5000 0.5000  2 As 2.83, 8 Ta 2.85, 2 Mg 3.11

Calculated values
Magnetization = 0.0 μB per cell
ΔE_f = 227 meV per atom
V = 68 Å³/f.u.
Polymorph energy (0 for the lowest one) = 0.263 eV/atom
Symmetry = No. 65

***

Record 7
MgTc2As | PBEsol | relaxed

Cell lengths 3.1269, 4.2649, 4.2649 Å; angles 90.00, 90.00, 90.00 degrees
With the nearest neighbours (Å) after each atom.
Element x y z (fractional)
As 0.5000 0.5000 0.5000  8 Tc 2.64
Tc 0.0000 0.5000 0.0000  4 As 2.64, 4 Mg 2.64
Tc 0.0000 0.0000 0.5000  4 As 2.64, 4 Mg 2.64
Mg 0.5000 0.0000 0.0000  8 Tc 2.64

Calculated values
Magnetization = 0.0 μB per cell
ΔE_f = 203 meV per atom
V = 57 Å³/f.u.
Polymorph energy (0 for the lowest one) = 0.000 eV/atom
Symmetry = No. 123

***

Record 8
MgTc2As | PBEsol | relaxed

Cell lengths 2.8107, 4.9863, 5.0712 Å; angles 118.04, 103.82, 94.46 degrees
With the nearest neighbours (Å) after each atom.
Element x y z (fractional)
Tc 0.5000 0.5000 0.5000  2 As 2.59, 2 Mg 2.59, 4 Tc 2.77-2.81
Tc 0.0000 0.0000 0.5000  2 Mg 2.59, 2 As 2.59, 4 Tc 2.77-2.81
Mg 0.0000 0.5000 0.0000  4 Tc 2.59, 2 As 2.77, 2 Mg 2.81
As 0.5000 0.0000 0.0000  4 Tc 2.59, 2 Mg 2.77, 2 As 2.81

Calculated values
Magnetization = 0.0 μB per cell
ΔE_f = 279 meV per atom
V = 59 Å³/f.u.
Polymorph energy (0 for the lowest one) = 0.076 eV/atom
Symmetry = No. 12

***

Record 9
Mg2TcAs | PBEsol | relaxed

Cell lengths 3.1855, 3.1855, 6.9620 Å; angles 90.00, 90.00, 90.00 degrees
With the nearest neighbours (Å) after each atom.
Element x y z (fractional)
As 0.5000 0.5000 0.7023  4 Tc 2.50
Mg 0.5000 0.5000 0.2902  1 As 2.87, 4 Tc 2.87, 4 Mg 3.19
Mg 0.0000 0.0000 0.9611  4 As 2.88, 1 Tc 2.89, 8 Mg 3.19-3.21
Tc 0.0000 0.0000 0.5464  4 As 2.50

Calculated values
Magnetization = 0.0 μB per cell
ΔE_f = -164 meV per atom
V = 71 Å³/f.u.
Symmetry = No. 99

***

Record 10
MgTcAs2 | PBEsol | relaxed

Cell lengths 3.2092, 4.4529, 4.4529 Å; angles 99.51, 89.94, 89.94 degrees
With the nearest neighbours (Å) after each atom.
Element x y z (fractional)
Tc 0.5000 0.0000 0.0000  8 As 2.74-2.75, 2 Mg 2.88
Mg 0.5000 0.5000 0.5000  8 As 2.74-2.75, 2 Tc 2.88
As 0.0000 0.5000 0.0000  4 Tc 2.74-2.75, 4 Mg 2.74-2.75, 2 As 2.88
As 0.0000 0.0000 0.5000  4 Mg 2.74-2.75, 4 Tc 2.74-2.75, 2 As 2.88

Calculated values
Magnetization = 0.0 μB per cell
ΔE_f = 41 meV per atom
V = 63 Å³/f.u.
Symmetry = No. 65

***

Record 11
Mg2TcAs | PBEsol | relaxed

Cell lengths 2.9716, 2.9716, 8.9061 Å; angles 90.00, 90.00, 113.28 degrees
With the nearest neighbours (Å) after each atom.
Element x y z (fractional)
Tc 0.0000 0.0000 0.4789  2 As 2.40
Mg 0.5000 0.5000 0.7231  2 Tc 2.72, 4 Mg 2.97
Mg 0.0000 0.0000 0.0161  2 As 2.88, 6 Mg 2.97-3.08
As 0.5000 0.5000 0.2819  2 Tc 2.40

Calculated values
Magnetization = 0.0 μB per cell
ΔE_f = 137 meV per atom
V = 72 Å³/f.u.
Symmetry = No. 35

***

Record 12
MgTe2As | PBEsol | relaxed

Cell lengths 3.5658, 3.5658, 7.2677 Å; angles 90.00, 90.00, 90.00 degrees
With the nearest neighbours (Å) after each atom.
Element x y z (fractional)
Mg 0.5000 0.5000 0.5000  8 Te 3.10
Te 0.0000 0.0000 0.2515  4 Mg 3.10, 4 As 3.11
Te 0.0000 0.0000 0.7485  4 Mg 3.10, 4 As 3.11
As 0.5000 0.5000 0.0000  8 Te 3.11

Calculated values
Magnetization = 0.0 μB per cell
V = 92 Å³/f.u.
Polymorph energy (0 for the lowest one) = 0.020 eV/atom
Symmetry = No. 123

***

Repeat the tenth record exactly.
MgTcAs2 | PBEsol | relaxed

Cell lengths 3.2092, 4.4529, 4.4529 Å; angles 99.51, 89.94, 89.94 degrees
With the nearest neighbours (Å) after each atom.
Element x y z (fractional)
Tc 0.5000 0.0000 0.0000  8 As 2.74-2.75, 2 Mg 2.88
Mg 0.5000 0.5000 0.5000  8 As 2.74-2.75, 2 Tc 2.88
As 0.0000 0.5000 0.0000  4 Tc 2.74-2.75, 4 Mg 2.74-2.75, 2 As 2.88
As 0.0000 0.0000 0.5000  4 Mg 2.74-2.75, 4 Tc 2.74-2.75, 2 As 2.88

Calculated values
Magnetization = 0.0 μB per cell
ΔE_f = 41 meV per atom
V = 63 Å³/f.u.
Symmetry = No. 65

***

Repeat the tenth record exactly.
MgTcAs2 | PBEsol | relaxed

Cell lengths 3.2092, 4.4529, 4.4529 Å; angles 99.51, 89.94, 89.94 degrees
With the nearest neighbours (Å) after each atom.
Element x y z (fractional)
Tc 0.5000 0.0000 0.0000  8 As 2.74-2.75, 2 Mg 2.88
Mg 0.5000 0.5000 0.5000  8 As 2.74-2.75, 2 Tc 2.88
As 0.0000 0.5000 0.0000  4 Tc 2.74-2.75, 4 Mg 2.74-2.75, 2 As 2.88
As 0.0000 0.0000 0.5000  4 Mg 2.74-2.75, 4 Tc 2.74-2.75, 2 As 2.88

Calculated values
Magnetization = 0.0 μB per cell
ΔE_f = 41 meV per atom
V = 63 Å³/f.u.
Symmetry = No. 65

***

Q: magnetization of number 2 (MgTa2As)?
A: 0.0 μB per cell